# 1
# CsZnN PBE relaxed
data_CsZnN
_space_group_name_H-M_alt 'P 1'
_space_group_IT_number 1
_space_group_name_Hall 'P 1'
_cell_length_a 5.559
_cell_length_b 5.946
_cell_length_c 6.445
_cell_angle_alpha 62.70
_cell_angle_beta 89.84
_cell_angle_gamma 89.99
loop_
_atom_site_label
_atom_site_type_symbol
_atom_site_fract_x
_atom_site_fract_y
_atom_site_fract_z
_atom_site_occupancy
Cs1 Cs 0.000 0.000 0.000 1
Cs2 Cs 0.500 0.400 0.200 1
Zn1 Zn 0.249 0.700 0.600 1
Zn2 Zn 0.749 0.700 0.600 1
N1 N 0.499 0.808 0.387 1
N2 N 0.998 0.593 0.812 1
# Crystal system: triclinic

# 2
# CsZnN PBE relaxed
data_CsZnN
_space_group_name_H-M_alt 'P 1'
_space_group_IT_number 1
_space_group_name_Hall 'P 1'
_cell_length_a 10.583
_cell_length_b 5.520
_cell_length_c 6.310
_cell_angle_alpha 90.00
_cell_angle_beta 90.00
_cell_angle_gamma 90.00
loop_
_atom_site_label
_atom_site_type_symbol
_atom_site_fract_x
_atom_site_fract_y
_atom_site_fract_z
_atom_site_occupancy
Cs1 Cs 0.155 0.250 0.021 1
Cs2 Cs 0.345 0.750 0.521 1
Cs3 Cs 0.655 0.250 0.479 1
Cs4 Cs 0.845 0.750 0.979 1
Zn1 Zn 0.000 0.000 0.500 1
Zn2 Zn 0.000 0.500 0.500 1
Zn3 Zn 0.500 0.000 0.000 1
Zn4 Zn 0.500 0.500 0.000 1
N1 N 0.059 0.750 0.333 1
N2 N 0.441 0.250 0.833 1
N3 N 0.559 0.750 0.167 1
N4 N 0.941 0.250 0.667 1
# Crystal system: orthorhombic

# 3
# CsZnN3 PBE relaxed
data_CsZnN3
_space_group_name_H-M_alt 'P 1'
_space_group_IT_number 1
_space_group_name_Hall 'P 1'
_cell_length_a 4.311
_cell_length_b 4.311
_cell_length_c 4.311
_cell_angle_alpha 90.00
_cell_angle_beta 90.00
_cell_angle_gamma 90.00
loop_
_atom_site_label
_atom_site_type_symbol
_atom_site_fract_x
_atom_site_fract_y
_atom_site_fract_z
_atom_site_occupancy
Cs1 Cs 0.000 0.000 0.000 1
Zn1 Zn 0.500 0.500 0.500 1
N1 N 0.000 0.000 0.500 1
N2 N 0.000 0.500 0.000 1
N3 N 0.500 0.000 0.000 1
# Crystal system: cubic

# 4
# CsZn3N PBE relaxed
data_CsZn3N
_space_group_name_H-M_alt 'P 1'
_space_group_IT_number 1
_space_group_name_Hall 'P 1'
_cell_length_a 7.648
_cell_length_b 7.648
_cell_length_c 7.648
_cell_angle_alpha 90.00
_cell_angle_beta 90.00
_cell_angle_gamma 90.00
loop_
_atom_site_label
_atom_site_type_symbol
_atom_site_fract_x
_atom_site_fract_y
_atom_site_fract_z
_atom_site_occupancy
Cs1 Cs 0.000 0.000 0.000 1
Zn1 Zn 0.000 0.000 0.500 1
Zn2 Zn 0.000 0.500 0.000 1
Zn3 Zn 0.500 0.000 0.000 1
N1 N 0.500 0.500 0.500 1
# Crystal system: cubic

# 5
# CsZn3N PBE relaxed
data_CsZn3N
_space_group_name_H-M_alt 'P 1'
_space_group_IT_number 1
_space_group_name_Hall 'P 1'
_cell_length_a 4.775
_cell_length_b 4.775
_cell_length_c 4.775
_cell_angle_alpha 90.00
_cell_angle_beta 90.00
_cell_angle_gamma 90.00
loop_
_atom_site_label
_atom_site_type_symbol
_atom_site_fract_x
_atom_site_fract_y
_atom_site_fract_z
_atom_site_occupancy
Cs1 Cs 0.000 0.000 0.000 1
Zn1 Zn 0.000 0.500 0.500 1
Zn2 Zn 0.500 0.000 0.500 1
Zn3 Zn 0.500 0.500 0.000 1
N1 N 0.500 0.500 0.500 1
# Crystal system: cubic

# 6
# CsZnN PBE relaxed
data_CsZnN
_space_group_name_H-M_alt 'P 1'
_space_group_IT_number 1
_space_group_name_Hall 'P 1'
_cell_length_a 12.063
_cell_length_b 3.616
_cell_length_c 6.758
_cell_angle_alpha 90.00
_cell_angle_beta 90.00
_cell_angle_gamma 90.00
loop_
_atom_site_label
_atom_site_type_symbol
_atom_site_fract_x
_atom_site_fract_y
_atom_site_fract_z
_atom_site_occupancy
Cs1 Cs 0.156 0.250 0.055 1
Cs2 Cs 0.344 0.750 0.555 1
Cs3 Cs 0.656 0.250 0.445 1
Cs4 Cs 0.844 0.750 0.945 1
Zn1 Zn 0.056 0.250 0.595 1
Zn2 Zn 0.444 0.750 0.095 1
Zn3 Zn 0.556 0.250 0.905 1
Zn4 Zn 0.944 0.750 0.405 1
N1 N 0.080 0.750 0.679 1
N2 N 0.420 0.250 0.179 1
N3 N 0.580 0.750 0.821 1
N4 N 0.920 0.250 0.321 1
# Crystal system: orthorhombic

# 7
# CsZnN PBE relaxed
data_CsZnN
_space_group_name_H-M_alt 'P 1'
_space_group_IT_number 1
_space_group_name_Hall 'P 1'
_cell_length_a 3.572
_cell_length_b 3.572
_cell_length_c 11.013
_cell_angle_alpha 90.00
_cell_angle_beta 90.00
_cell_angle_gamma 120.00
loop_
_atom_site_label
_atom_site_type_symbol
_atom_site_fract_x
_atom_site_fract_y
_atom_site_fract_z
_atom_site_occupancy
Cs1 Cs 0.000 0.000 0.000 1
Cs2 Cs 0.000 0.000 0.500 1
Zn1 Zn 0.333 0.667 0.250 1
Zn2 Zn 0.667 0.333 0.750 1
N1 N 0.333 0.667 0.750 1
N2 N 0.667 0.333 0.250 1
# Crystal system: hexagonal

# 8
# CsZnN PBE relaxed
data_CsZnN
_space_group_name_H-M_alt 'P 1'
_space_group_IT_number 1
_space_group_name_Hall 'P 1'
_cell_length_a 7.563
_cell_length_b 3.616
_cell_length_c 10.610
_cell_angle_alpha 90.00
_cell_angle_beta 90.00
_cell_angle_gamma 90.00
loop_
_atom_site_label
_atom_site_type_symbol
_atom_site_fract_x
_atom_site_fract_y
_atom_site_fract_z
_atom_site_occupancy
Cs1 Cs 0.011 0.250 0.177 1
Cs2 Cs 0.489 0.750 0.677 1
Cs3 Cs 0.511 0.250 0.323 1
Cs4 Cs 0.989 0.750 0.823 1
Zn1 Zn 0.123 0.750 0.497 1
Zn2 Zn 0.377 0.250 0.997 1
Zn3 Zn 0.623 0.750 0.003 1
Zn4 Zn 0.877 0.250 0.503 1
N1 N 0.195 0.250 0.531 1
N2 N 0.305 0.750 0.031 1
N3 N 0.695 0.250 0.969 1
N4 N 0.805 0.750 0.469 1
# Crystal system: orthorhombic

The records above give, respectively, energy relative to the elements, uncorrected values of 0.019; 0.021; 3.116; 1.607; 0.806; 0.152; 0.258; 0.153 eV/atom.